Below is an optimized crystal structure of Be3InCu, with properties calculated at the PBE-GGA level.

a = 4.481 Å, b = 4.481 Å, c = 4.481 Å
α = 90.00°, β = 90.00°, γ = 90.00°
Fractional positions:
In 0.000 0.000 0.000
Be 0.000 0.000 0.500
Be 0.000 0.500 0.000
Be 0.500 0.000 0.000
Cu 0.500 0.500 0.500

Computed properties:
DOS(E_F): 0.275 states/eV/atom
E: -0.083 Ha/atom
crystal system: cubic
formation enthalpy at 0 K: 1.341 eV/atom